No. 1
# Tc4IrRu | the Alexandria database | PBE | optimized geometry
# **Calculated formation energy**: -0.015 eV per atom
# **Symmetry**: P-1 (2)
data_Tc4IrRu
_chemical_formula_sum 'Tc8 Ir2 Ru2'
_space_group_name_H-M_alt 'P 1'
_space_group_IT_number 1
_cell_length_a 4.732
_cell_length_b 12.247
_cell_length_c 6.132
_cell_angle_alpha 143.32
_cell_angle_beta 74.99
_cell_angle_gamma 121.04
loop_
_space_group_symop_operation_xyz
'x,y,z'
loop_
_atom_site_label
_atom_site_type_symbol
_atom_site_fract_x
_atom_site_fract_y
_atom_site_fract_z
Tc1 Tc 0.253 0.875 0.000
Tc2 Tc 0.741 0.621 0.992
Tc3 Tc 0.244 0.705 0.330
Tc4 Tc 0.756 0.295 0.670
Tc5 Tc 0.747 0.790 0.664
Tc6 Tc 0.259 0.379 0.008
Tc7 Tc 0.253 0.210 0.336
Tc8 Tc 0.747 0.125 0.000
Ir1 Ir 0.249 0.042 0.670
Ir2 Ir 0.751 0.958 0.330
Ru1 Ru 0.245 0.540 0.663
Ru2 Ru 0.755 0.460 0.337

---

No. 2
# AlPtSe2 | the Alexandria database | PBE | optimized geometry
# **Total energy**: -4.58 eV per atom
# **Symmetry**: R3m (160)
data_AlPtSe2
_chemical_formula_sum 'Al1 Pt1 Se2'
_space_group_name_H-M_alt 'P 1'
_space_group_IT_number 1
_cell_length_a 7.000
_cell_length_b 7.000
_cell_length_c 7.000
_cell_angle_alpha 32.15
_cell_angle_beta 32.15
_cell_angle_gamma 32.15
loop_
_space_group_symop_operation_xyz
'x,y,z'
loop_
_atom_site_label
_atom_site_type_symbol
_atom_site_fract_x
_atom_site_fract_y
_atom_site_fract_z
Se1 Se 0.032 0.032 0.032
Se2 Se 0.224 0.224 0.224
Pt1 Pt 0.748 0.748 0.748
Al1 Al 0.496 0.496 0.496

---

No. 3
# Sn3BiMo | the Alexandria database | PBE | optimized geometry
# **Calculated formation energy**: 0.456 eV per atom
# **Symmetry**: Pm-3m (221)
data_Sn3BiMo
_chemical_formula_sum 'Sn3 Bi1 Mo1'
_space_group_name_H-M_alt 'P 1'
_space_group_IT_number 1
_cell_length_a 5.322
_cell_length_b 5.322
_cell_length_c 5.322
_cell_angle_alpha 90.00
_cell_angle_beta 90.00
_cell_angle_gamma 90.00
loop_
_space_group_symop_operation_xyz
'x,y,z'
loop_
_atom_site_label
_atom_site_type_symbol
_atom_site_fract_x
_atom_site_fract_y
_atom_site_fract_z
Mo1 Mo 0.000 0.000 0.000
Bi1 Bi 0.500 0.500 0.500
Sn1 Sn 0.000 0.500 0.000
Sn2 Sn 0.000 0.000 0.500
Sn3 Sn 0.500 0.000 0.000

---

No. 4
# K2HgSe2 | the Alexandria database | PBE | optimized geometry
# **Total energy**: -2.57 eV per atom
# **Symmetry**: P4/mbm (127)
data_K2HgSe2
_chemical_formula_sum 'K4 Hg2 Se4'
_space_group_name_H-M_alt 'P 1'
_space_group_IT_number 1
_cell_length_a 7.950
_cell_length_b 7.950
_cell_length_c 4.829
_cell_angle_alpha 90.00
_cell_angle_beta 90.00
_cell_angle_gamma 90.00
loop_
_space_group_symop_operation_xyz
'x,y,z'
loop_
_atom_site_label
_atom_site_type_symbol
_atom_site_fract_x
_atom_site_fract_y
_atom_site_fract_z
K1 K 0.140 0.640 0.500
K2 K 0.640 0.860 0.500
K3 K 0.860 0.360 0.500
K4 K 0.360 0.140 0.500
Hg1 Hg 0.000 0.000 0.000
Hg2 Hg 0.500 0.500 0.000
Se1 Se 0.324 0.824 0.000
Se2 Se 0.824 0.676 0.000
Se3 Se 0.676 0.176 0.000
Se4 Se 0.176 0.324 0.000

---

No. 5
# Al4AgRu | the Alexandria database | PBE | optimized geometry
# **Calculated formation energy**: 0.059 eV per atom
# **Symmetry**: F-43m (216)
data_Al4AgRu
_chemical_formula_sum 'Al4 Ag1 Ru1'
_space_group_name_H-M_alt 'P 1'
_space_group_IT_number 1
_cell_length_a 5.088
_cell_length_b 5.088
_cell_length_c 5.088
_cell_angle_alpha 60.00
_cell_angle_beta 60.00
_cell_angle_gamma 60.00
loop_
_space_group_symop_operation_xyz
'x,y,z'
loop_
_atom_site_label
_atom_site_type_symbol
_atom_site_fract_x
_atom_site_fract_y
_atom_site_fract_z
Al1 Al 0.624 0.624 0.127
Al2 Al 0.624 0.127 0.624
Al3 Al 0.624 0.624 0.624
Al4 Al 0.127 0.624 0.624
Ag1 Ag 0.000 0.000 0.000
Ru1 Ru 0.250 0.250 0.250

---

No. 6
# BaMo3N | the Alexandria database | PBE | optimized geometry
# **Total energy**: -4.31 eV per atom
# **Symmetry**: Pm-3m (221)
data_BaMo3N
_chemical_formula_sum 'Ba1 Mo3 N1'
_space_group_name_H-M_alt 'P 1'
_space_group_IT_number 1
_cell_length_a 4.991
_cell_length_b 4.991
_cell_length_c 4.991
_cell_angle_alpha 90.00
_cell_angle_beta 90.00
_cell_angle_gamma 90.00
loop_
_space_group_symop_operation_xyz
'x,y,z'
loop_
_atom_site_label
_atom_site_type_symbol
_atom_site_fract_x
_atom_site_fract_y
_atom_site_fract_z
Mo1 Mo 0.000 0.500 0.000
Mo2 Mo 0.000 0.000 0.500
Mo3 Mo 0.500 0.000 0.000
Ba1 Ba 0.000 0.000 0.000
N1 N 0.500 0.500 0.500

---

No. 7
# Y2ZnBRu | the Alexandria database | PBE | optimized geometry
# **Calculated formation energy**: -0.298 eV per atom
# **Symmetry**: P4/mmm (123)
data_Y2ZnBRu
_chemical_formula_sum 'Y2 Zn1 B1 Ru1'
_space_group_name_H-M_alt 'P 1'
_space_group_IT_number 1
_cell_length_a 5.078
_cell_length_b 5.078
_cell_length_c 3.946
_cell_angle_alpha 90.00
_cell_angle_beta 90.00
_cell_angle_gamma 90.00
loop_
_space_group_symop_operation_xyz
'x,y,z'
loop_
_atom_site_label
_atom_site_type_symbol
_atom_site_fract_x
_atom_site_fract_y
_atom_site_fract_z
Y1 Y 0.000 0.500 0.000
Y2 Y 0.500 0.000 0.000
Ru1 Ru 0.000 0.000 0.500
Zn1 Zn 0.500 0.500 0.500
B1 B 0.000 0.000 0.000

---

No. 8
# NaAs2Cl6 | the Alexandria database | PBE | optimized geometry
# **Total energy**: -3.18 eV per atom
# **Symmetry**: C2/c (15)
data_NaAs2Cl6
_chemical_formula_sum 'Na2 As4 Cl12'
_space_group_name_H-M_alt 'P 1'
_space_group_IT_number 1
_cell_length_a 10.577
_cell_length_b 8.186
_cell_length_c 8.186
_cell_angle_alpha 89.01
_cell_angle_beta 68.83
_cell_angle_gamma 68.83
loop_
_space_group_symop_operation_xyz
'x,y,z'
loop_
_atom_site_label
_atom_site_type_symbol
_atom_site_fract_x
_atom_site_fract_y
_atom_site_fract_z
Na1 Na 0.250 0.103 0.897
Na2 Na 0.750 0.897 0.103
As1 As 0.298 0.597 0.696
As2 As 0.202 0.304 0.403
As3 As 0.702 0.403 0.304
As4 As 0.798 0.696 0.597
Cl1 Cl 0.548 0.660 0.612
Cl2 Cl 0.952 0.388 0.340
Cl3 Cl 0.452 0.340 0.388
Cl4 Cl 0.048 0.612 0.660
Cl5 Cl 0.856 0.858 0.379
Cl6 Cl 0.644 0.621 0.142
Cl7 Cl 0.144 0.142 0.621
Cl8 Cl 0.356 0.379 0.858
Cl9 Cl 0.167 0.813 0.937
Cl10 Cl 0.333 0.063 0.187
Cl11 Cl 0.833 0.187 0.063
Cl12 Cl 0.667 0.937 0.813

---

No. 9
# Sb4Pd2Ru | the Alexandria database | PBE | optimized geometry
# **Total energy**: -5.00 eV per atom
# **Symmetry**: I4/mmm (139)
data_Sb4Pd2Ru
_chemical_formula_sum 'Sb4 Pd2 Ru1'
_space_group_name_H-M_alt 'P 1'
_space_group_IT_number 1
_cell_length_a 5.101
_cell_length_b 5.101
_cell_length_c 7.556
_cell_angle_alpha 70.27
_cell_angle_beta 70.27
_cell_angle_gamma 90.00
loop_
_space_group_symop_operation_xyz
'x,y,z'
loop_
_atom_site_label
_atom_site_type_symbol
_atom_site_fract_x
_atom_site_fract_y
_atom_site_fract_z
Sb1 Sb 0.205 0.205 0.590
Sb2 Sb 0.795 0.795 0.410
Sb3 Sb 0.000 0.500 0.000
Sb4 Sb 0.500 0.000 0.000
Pd1 Pd 0.397 0.397 0.206
Pd2 Pd 0.603 0.603 0.794
Ru1 Ru 0.000 0.000 0.000

---

No. 10
# ScPt2Se | the Alexandria database | PBE | optimized geometry
# **Total energy**: -6.20 eV per atom
# **Symmetry**: Pm (6)
data_ScPt2Se
_chemical_formula_sum 'Sc1 Pt2 Se1'
_space_group_name_H-M_alt 'P 1'
_space_group_IT_number 1
_cell_length_a 3.704
_cell_length_b 3.514
_cell_length_c 5.794
_cell_angle_alpha 72.14
_cell_angle_beta 90.00
_cell_angle_gamma 90.00
loop_
_space_group_symop_operation_xyz
'x,y,z'
loop_
_atom_site_label
_atom_site_type_symbol
_atom_site_fract_x
_atom_site_fract_y
_atom_site_fract_z
Pt1 Pt 0.000 0.800 0.028
Pt2 Pt 0.500 0.191 0.241
Sc1 Sc 0.000 0.555 0.516
Se1 Se 0.500 0.953 0.715

---

No. 11
# NdEr5Au4 | the Alexandria database | PBE | optimized geometry
# **Calculated formation energy**: -0.700 eV per atom
# **Symmetry**: P4/mmm (123)
data_NdEr5Au4
_chemical_formula_sum 'Nd1 Er5 Au4'
_space_group_name_H-M_alt 'P 1'
_space_group_IT_number 1
_cell_length_a 3.547
_cell_length_b 3.547
_cell_length_c 19.675
_cell_angle_alpha 90.00
_cell_angle_beta 90.00
_cell_angle_gamma 90.00
loop_
_space_group_symop_operation_xyz
'x,y,z'
loop_
_atom_site_label
_atom_site_type_symbol
_atom_site_fract_x
_atom_site_fract_y
_atom_site_fract_z
Nd1 Nd 0.000 0.000 0.000
Er1 Er 0.500 0.500 0.134
Er2 Er 0.500 0.500 0.316
Er3 Er 0.500 0.500 0.500
Er4 Er 0.500 0.500 0.684
Er5 Er 0.500 0.500 0.866
Au1 Au 0.000 0.000 0.222
Au2 Au 0.000 0.000 0.408
Au3 Au 0.000 0.000 0.592
Au4 Au 0.000 0.000 0.778

---

No. 12
# Cr2CuPb | the Alexandria database | PBE | optimized geometry
# **Calculated formation energy**: 0.626 eV per atom
# **Symmetry**: R3m (160)
data_Cr2CuPb
_chemical_formula_sum 'Cr2 Cu1 Pb1'
_space_group_name_H-M_alt 'P 1'
_space_group_IT_number 1
_cell_length_a 8.778
_cell_length_b 8.778
_cell_length_c 8.778
_cell_angle_alpha 19.64
_cell_angle_beta 19.64
_cell_angle_gamma 19.64
loop_
_space_group_symop_operation_xyz
'x,y,z'
loop_
_atom_site_label
_atom_site_type_symbol
_atom_site_fract_x
_atom_site_fract_y
_atom_site_fract_z
Cr1 Cr 0.019 0.019 0.019
Cr2 Cr 0.743 0.743 0.743
Cu1 Cu 0.486 0.486 0.486
Pb1 Pb 0.252 0.252 0.252

---

No. 13
# ScTc2P | the Alexandria database | PBE | optimized geometry
# **Calculated formation energy**: -0.401 eV per atom
# **Symmetry**: Pm (6)
data_ScTc2P
_chemical_formula_sum 'Sc1 Tc2 P1'
_space_group_name_H-M_alt 'P 1'
_space_group_IT_number 1
_cell_length_a 4.303
_cell_length_b 3.062
_cell_length_c 4.851
_cell_angle_alpha 72.51
_cell_angle_beta 90.00
_cell_angle_gamma 90.00
loop_
_space_group_symop_operation_xyz
'x,y,z'
loop_
_atom_site_label
_atom_site_type_symbol
_atom_site_fract_x
_atom_site_fract_y
_atom_site_fract_z
Sc1 Sc 0.500 0.732 0.705
Tc1 Tc 0.000 0.026 0.062
Tc2 Tc 0.500 0.423 0.228
P1 P 0.000 0.319 0.505

---

No. 14
# Ba2Mg5Cd3 | the Alexandria database | PBE | optimized geometry
# **Calculated formation energy**: -0.153 eV per atom
# **Symmetry**: Ibam (72)
data_Ba2Mg5Cd3
_chemical_formula_sum 'Ba4 Mg10 Cd6'
_space_group_name_H-M_alt 'P 1'
_space_group_IT_number 1
_cell_length_a 6.875
_cell_length_b 10.120
_cell_length_c 10.120
_cell_angle_alpha 72.15
_cell_angle_beta 70.14
_cell_angle_gamma 70.14
loop_
_space_group_symop_operation_xyz
'x,y,z'
loop_
_atom_site_label
_atom_site_type_symbol
_atom_site_fract_x
_atom_site_fract_y
_atom_site_fract_z
Ba1 Ba 0.128 0.644 0.099
Ba2 Ba 0.628 0.099 0.644
Ba3 Ba 0.872 0.356 0.901
Ba4 Ba 0.372 0.901 0.356
Mg1 Mg 0.362 0.240 0.036
Mg2 Mg 0.862 0.036 0.240
Mg3 Mg 0.638 0.760 0.964
Mg4 Mg 0.138 0.964 0.760
Mg5 Mg 0.539 0.711 0.711
Mg6 Mg 0.461 0.289 0.289
Mg7 Mg 0.750 0.500 0.500
Mg8 Mg 0.250 0.500 0.500
Mg9 Mg 0.961 0.289 0.289
Mg10 Mg 0.039 0.711 0.711
Cd1 Cd 0.392 0.450 0.765
Cd2 Cd 0.892 0.765 0.450
Cd3 Cd 0.608 0.550 0.235
Cd4 Cd 0.108 0.235 0.550
Cd5 Cd 0.250 0.000 0.000
Cd6 Cd 0.750 0.000 0.000

---

No. 15
# UCrTcC3 | the Alexandria database | PBE | optimized geometry
# **Calculated formation energy**: 0.022 eV per atom
# **Symmetry**: P2_1/m (11)
data_UCrTcC3
_chemical_formula_sum 'U2 Cr2 Tc2 C6'
_space_group_name_H-M_alt 'P 1'
_space_group_IT_number 1
_cell_length_a 3.022
_cell_length_b 6.437
_cell_length_c 7.680
_cell_angle_alpha 103.33
_cell_angle_beta 90.00
_cell_angle_gamma 90.00
loop_
_space_group_symop_operation_xyz
'x,y,z'
loop_
_atom_site_label
_atom_site_type_symbol
_atom_site_fract_x
_atom_site_fract_y
_atom_site_fract_z
U1 U 0.750 0.816 0.791
U2 U 0.250 0.184 0.209
Cr1 Cr 0.250 0.135 0.605
Cr2 Cr 0.750 0.865 0.395
Tc1 Tc 0.250 0.656 0.110
Tc2 Tc 0.750 0.344 0.890
C1 C 0.250 0.813 0.537
C2 C 0.750 0.890 0.131
C3 C 0.750 0.454 0.175
C4 C 0.750 0.187 0.463
C5 C 0.250 0.546 0.825
C6 C 0.250 0.110 0.869

---

No. 16
# VMo3Rh | the Alexandria database | PBE | optimized geometry
# **Calculated formation energy**: 1.270 eV per atom
# **Symmetry**: Pm-3m (221)
data_VMo3Rh
_chemical_formula_sum 'V1 Mo3 Rh1'
_space_group_name_H-M_alt 'P 1'
_space_group_IT_number 1
_cell_length_a 4.441
_cell_length_b 4.441
_cell_length_c 4.441
_cell_angle_alpha 90.00
_cell_angle_beta 90.00
_cell_angle_gamma 90.00
loop_
_space_group_symop_operation_xyz
'x,y,z'
loop_
_atom_site_label
_atom_site_type_symbol
_atom_site_fract_x
_atom_site_fract_y
_atom_site_fract_z
Mo1 Mo 0.000 0.500 0.000
Mo2 Mo 0.000 0.000 0.500
Mo3 Mo 0.500 0.000 0.000
Rh1 Rh 0.500 0.500 0.500
V1 V 0.000 0.000 0.000

---

No. 17
# InBiBr4 | the Alexandria database | PBE | optimized geometry
# **Total energy**: -2.93 eV per atom
# **Symmetry**: C2/c (15)
data_InBiBr4
_chemical_formula_sum 'In2 Bi2 Br8'
_space_group_name_H-M_alt 'P 1'
_space_group_IT_number 1
_cell_length_a 7.400
_cell_length_b 8.670
_cell_length_c 10.864
_cell_angle_alpha 119.76
_cell_angle_beta 117.04
_cell_angle_gamma 73.40
loop_
_space_group_symop_operation_xyz
'x,y,z'
loop_
_atom_site_label
_atom_site_type_symbol
_atom_site_fract_x
_atom_site_fract_y
_atom_site_fract_z
In1 In 0.427 0.677 0.354
In2 In 0.573 0.323 0.646
Bi1 Bi 0.317 0.067 0.134
Bi2 Bi 0.683 0.933 0.866
Br1 Br 0.950 0.143 0.889
Br2 Br 0.786 0.618 0.641
Br3 Br 0.439 0.746 0.889
Br4 Br 0.354 0.023 0.641
Br5 Br 0.646 0.977 0.359
Br6 Br 0.561 0.254 0.111
Br7 Br 0.214 0.382 0.359
Br8 Br 0.050 0.857 0.111

---

No. 18
# Ca2CrBr2 | the Alexandria database | PBE | optimized geometry
# **Total energy**: -3.82 eV per atom
# **Symmetry**: P4/mbm (127)
data_Ca2CrBr2
_chemical_formula_sum 'Ca4 Cr2 Br4'
_space_group_name_H-M_alt 'P 1'
_space_group_IT_number 1
_cell_length_a 8.841
_cell_length_b 8.841
_cell_length_c 3.695
_cell_angle_alpha 90.00
_cell_angle_beta 90.00
_cell_angle_gamma 90.00
loop_
_space_group_symop_operation_xyz
'x,y,z'
loop_
_atom_site_label
_atom_site_type_symbol
_atom_site_fract_x
_atom_site_fract_y
_atom_site_fract_z
Cr1 Cr 0.000 0.000 0.000
Cr2 Cr 0.500 0.500 0.000
Ca1 Ca 0.331 0.831 0.000
Ca2 Ca 0.831 0.669 0.000
Ca3 Ca 0.669 0.169 0.000
Ca4 Ca 0.169 0.331 0.000
Br1 Br 0.132 0.632 0.500
Br2 Br 0.632 0.868 0.500
Br3 Br 0.868 0.368 0.500
Br4 Br 0.368 0.132 0.500

---

No. 19
# MnCrAu2 | the Alexandria database | PBE | optimized geometry
# **Calculated formation energy**: 0.194 eV per atom
# **Symmetry**: R3m (160)
data_MnCrAu2
_chemical_formula_sum 'Mn1 Cr1 Au2'
_space_group_name_H-M_alt 'P 1'
_space_group_IT_number 1
_cell_length_a 8.694
_cell_length_b 8.694
_cell_length_c 8.694
_cell_angle_alpha 19.58
_cell_angle_beta 19.58
_cell_angle_gamma 19.58
loop_
_space_group_symop_operation_xyz
'x,y,z'
loop_
_atom_site_label
_atom_site_type_symbol
_atom_site_fract_x
_atom_site_fract_y
_atom_site_fract_z
Au1 Au 0.007 0.007 0.007
Au2 Au 0.244 0.244 0.244
Cr1 Cr 0.491 0.491 0.491
Mn1 Mn 0.758 0.758 0.758

---

No. 20
# K2GeB | the Alexandria database | PBE | optimized geometry
# **Calculated formation energy**: 0.374 eV per atom
# **Symmetry**: I-42d (122)
data_K2GeB
_chemical_formula_sum 'K4 Ge2 B2'
_space_group_name_H-M_alt 'P 1'
_space_group_IT_number 1
_cell_length_a 12.465
_cell_length_b 12.465
_cell_length_c 9.014
_cell_angle_alpha 46.26
_cell_angle_beta 46.26
_cell_angle_gamma 90.00
loop_
_space_group_symop_operation_xyz
'x,y,z'
loop_
_atom_site_label
_atom_site_type_symbol
_atom_site_fract_x
_atom_site_fract_y
_atom_site_fract_z
Ge1 Ge 0.000 0.000 0.000
Ge2 Ge 0.750 0.250 0.500
B1 B 0.500 0.500 0.000
B2 B 0.250 0.750 0.500
K1 K 0.416 0.125 0.250
K2 K 0.334 0.625 0.250
K3 K 0.375 0.584 0.750
K4 K 0.875 0.666 0.750

---

| no. | magnetization (μB/f.u.) | density (g/cm³) |
| --- | --- | --- |
| 1 | 0.000 | 13.125 |
| 2 | 0.000 | 7.307 |
| 3 | 2.302 | 7.283 |
| 4 | 0.000 | 4.752 |
| 5 | 0.000 | 5.649 |
| 6 | 0.093 | 5.866 |
| 7 | 0.000 | 5.795 |
| 8 | 0.000 | 2.095 |
| 9 | 0.000 | 7.697 |
| 10 | 0.000 | 11.893 |
| 11 | 0.000 | 11.864 |
| 12 | 0.005 | 9.308 |
| 13 | 0.000 | 7.408 |
| 14 | 0.000 | 4.005 |
| 15 | 0.000 | 9.688 |
| 16 | 0.000 | 8.376 |
| 17 | 0.000 | 3.977 |
| 18 | 5.190 | 3.357 |
| 19 | 0.453 | 12.889 |
| 20 | 0.368 | 1.830 |